[1]
Here is a relaxed structure of CaAg7Pd5 from the Alexandria database. Energies are from PBE.

Properties
Energy relative to the elements ... -3.5 kcal/mol of atoms
Electronic total energy ... -3.837 eV/atom

a = 5.458 Å, b = 9.352 Å, c = 9.358 Å
α = 90.00°, β = 90.00°, γ = 90.00°
Space group Imm2 (No. 44)
One atom of each set of equivalent atoms:
Ca  0.000  0.000  0.000
Ag  0.000  0.000  0.337
Ag  0.000  0.000  0.644
Ag  0.000  0.288  0.484
Ag  0.000  0.348  0.982
Ag  0.000  0.500  0.261
Pd  0.000  0.500  0.707
Pd  0.249  0.247  0.232


[2]
Here is a relaxed structure of ZnCoN2 from the Alexandria database. Energies are from PBE.

Properties
Energy relative to the elements, uncorrected ... 288 meV/atom
Electronic total energy ... -5.970 eV/atom

a = 5.437 Å, b = 6.289 Å, c = 5.123 Å
α = 90.00°, β = 90.00°, γ = 90.00°
Space group Pna2_1 (No. 33)
One atom of each set of equivalent atoms:
Zn  0.088  0.122  0.000
Co  0.072  0.630  0.999
N  0.064  0.609  0.351
N  0.107  0.142  0.399


[3]
Here is a relaxed structure of Co2IrSe from the Alexandria database. Energies are from PBE.

Properties
Energy relative to the elements, uncorrected ... 278 meV/atom
Electronic total energy ... -6.361 eV/atom

a = 8.323 Å, b = 2.833 Å, c = 4.556 Å
α = 90.00°, β = 98.93°, γ = 90.00°
Space group Cm (No. 8)
One atom of each set of equivalent atoms:
Co  0.000  0.000  0.000
Co  0.241  0.500  0.212
Ir  0.255  0.000  0.739
Se  0.495  0.000  0.430


[4]
Here is a relaxed structure of VFeTc2Bi from the Alexandria database. Energies are from PBE.

Properties
Energy relative to the elements ... 54.5 kcal/mol of atoms
Electronic total energy ... -6.076 eV/atom

a = 4.999 Å, b = 4.999 Å, c = 4.986 Å
α = 90.00°, β = 90.00°, γ = 90.00°
Space group P4/mmm (No. 123)
One atom of each set of equivalent atoms:
V  0.000  0.000  0.000
Fe  0.500  0.500  0.000
Tc  0.000  0.500  0.500
Bi  0.000  0.000  0.500


[5]
Here is a relaxed structure of InRh4Br from the Alexandria database. Energies are from PBE.

Properties
Energy relative to the elements, uncorrected ... 497 meV/atom
Electronic total energy ... -5.139 eV/atom

a = 7.477 Å, b = 7.477 Å, c = 7.477 Å
α = 90.00°, β = 90.00°, γ = 90.00°
Space group F-43m (No. 216)
One atom of each set of equivalent atoms:
In  0.000  0.000  0.000
Rh  0.125  0.125  0.625
Br  0.250  0.250  0.250


[6]
Here is a relaxed structure of HfTe2Mo2Se4 from the Alexandria database. Energies are from PBE.

Properties
Energy relative to the elements, uncorrected ... -585 meV/atom
Electronic total energy ... -6.345 eV/atom

a = 3.3775 Å, b = 3.3775 Å, c = 22.9886 Å
α = 90.00°, β = 90.00°, γ = 120.00°
Space group P3m1 (No. 156)
One atom of each set of equivalent atoms:
Hf  0.0000  0.0000  0.0000
Te  0.6667  0.3333  0.0957
Te  0.6667  0.3333  0.9043
Mo  0.0000  0.0000  0.6405
Mo  0.6667  0.3333  0.3356
Se  0.0000  0.0000  0.2636
Se  0.0000  0.0000  0.4076
Se  0.6667  0.3333  0.5685
Se  0.6667  0.3333  0.7125


[7]
Here is a relaxed structure of CeEuIn from the Alexandria database. Energies are from PBE.

Properties
E above lowest polymorph ... 35 meV/atom
Energy relative to the elements ... -3.1 kcal/mol of atoms
Electronic total energy ... -6.449 eV/atom

a = 5.4158 Å, b = 5.4158 Å, c = 3.2896 Å
α = 90.00°, β = 90.00°, γ = 120.00°
Space group P3m1 (No. 156)
One atom of each set of equivalent atoms:
Ce  0.0000  0.0000  0.0000
Eu  0.6667  0.3333  0.9976
In  0.3333  0.6667  0.4988


[8]
Here is a relaxed structure of Tb2TmRh from the Alexandria database. Energies are from PBE.

Properties
E above lowest polymorph ... 157 meV/atom
Energy relative to the elements ... -8.6 kcal/mol of atoms
Electronic total energy ... -5.643 eV/atom

a = 3.512 Å, b = 3.512 Å, c = 8.525 Å
α = 90.00°, β = 90.00°, γ = 90.00°
Space group P4/mmm (No. 123)
One atom of each set of equivalent atoms:
Tb  0.000  0.000  0.192
Tm  0.500  0.500  0.500
Rh  0.500  0.500  0.000


Values for M_tot, μB/f.u., ordered as above
0.00 0.00 2.26 3.55 0.67 0.17 8.57 0.00